{
  "formula": "Li3Ti2MnO6",
  "functional": "GGA+U",
  "state": "optimized geometry",
  "n_ef_per_ev_fu": 3.02,
  "total_energy_ev_per_atom": -7.316,
  "m_tot_mub_per_cell": 5.8,
  "spacegroup": "C2/m",
  "cell": [[2.960, 0.000, 0.000], [0.000, 6.005, 0.001], [-1.480, -1.474, 6.618]],
  "species": ["Li", "Li", "Li", "Ti", "Ti", "Mn", "O", "O", "O", "O", "O", "O"],
  "fractional_positions": [[0.000, 0.000, 0.000], [0.676, 0.345, 0.352], [0.324, 0.655, 0.648], [0.663, 0.835, 0.327], [0.337, 0.165, 0.673], [0.000, 0.500, 0.000], [0.169, 0.602, 0.338], [0.831, 0.398, 0.662], [0.822, 0.921, 0.644], [0.178, 0.079, 0.356], [0.481, 0.232, 0.962], [0.519, 0.768, 0.038]]
}